Entry 1:
Density functional theory data (PBE) for a relaxed NaPm2MgAu4 crystal.

```
data_NaPm2MgAu4
_cell_length_a 8.6494
_cell_length_b 8.6494
_cell_length_c 8.6494
_cell_angle_alpha 34.03
_cell_angle_beta 34.03
_cell_angle_gamma 34.03
_space_group_name_H-M_alt 'P 1'
_space_group_IT_number 1
_space_group_name_Hall 'P 1'
loop_
_atom_site_label
_atom_site_type_symbol
_atom_site_fract_x
_atom_site_fract_y
_atom_site_fract_z
Na1 Na 0.0000 0.0000 0.0000
Pm1 Pm 0.2503 0.2503 0.2503
Pm2 Pm 0.7497 0.7497 0.7497
Mg1 Mg 0.5000 0.5000 0.5000
Au1 Au 0.1272 0.1272 0.1272
Au2 Au 0.3803 0.3803 0.3803
Au3 Au 0.6197 0.6197 0.6197
Au4 Au 0.8728 0.8728 0.8728
```

## Properties
**Energy of formation from the pure elements**: -64.5 kJ/mol of atoms
**Spin magnetization**: 0.0 μB per cell



Entry 2:
Density functional theory data (PBE) for a relaxed NaPmMgAu crystal.

```
data_NaPmMgAu
_cell_length_a 5.1002
_cell_length_b 5.1002
_cell_length_c 5.1002
_cell_angle_alpha 60.00
_cell_angle_beta 60.00
_cell_angle_gamma 60.00
_space_group_name_H-M_alt 'P 1'
_space_group_IT_number 1
_space_group_name_Hall 'P 1'
loop_
_atom_site_label
_atom_site_type_symbol
_atom_site_fract_x
_atom_site_fract_y
_atom_site_fract_z
Na1 Na 0.0000 0.0000 0.0000
Pm1 Pm 0.2500 0.2500 0.2500
Mg1 Mg 0.7500 0.7500 0.7500
Au1 Au 0.5000 0.5000 0.5000
```

## Properties
**Energy of formation from the pure elements**: -27.7 kJ/mol of atoms
**Spin magnetization**: 0.4 μB per cell



Entry 3:
Density functional theory data (PBE) for a relaxed NaPrMgAu crystal.

```
data_NaPrMgAu
_cell_length_a 5.1488
_cell_length_b 5.1488
_cell_length_c 5.1488
_cell_angle_alpha 60.00
_cell_angle_beta 60.00
_cell_angle_gamma 60.00
_space_group_name_H-M_alt 'P 1'
_space_group_IT_number 1
_space_group_name_Hall 'P 1'
loop_
_atom_site_label
_atom_site_type_symbol
_atom_site_fract_x
_atom_site_fract_y
_atom_site_fract_z
Na1 Na 0.0000 0.0000 0.0000
Pr1 Pr 0.7500 0.7500 0.7500
Mg1 Mg 0.2500 0.2500 0.2500
Au1 Au 0.5000 0.5000 0.5000
```

## Properties
**Energy of formation from the pure elements**: -27.7 kJ/mol of atoms
**Spin magnetization**: 0.2 μB per cell



Entry 4:
Density functional theory data (PBE) for a relaxed Rb2NaMgAu crystal.

```
data_Rb2NaMgAu
_cell_length_a 6.7226
_cell_length_b 6.7226
_cell_length_c 5.3575
_cell_angle_alpha 90.00
_cell_angle_beta 90.00
_cell_angle_gamma 90.00
_space_group_name_H-M_alt 'P 1'
_space_group_IT_number 1
_space_group_name_Hall 'P 1'
loop_
_atom_site_label
_atom_site_type_symbol
_atom_site_fract_x
_atom_site_fract_y
_atom_site_fract_z
Rb1 Rb 0.0000 0.5000 0.0000
Rb2 Rb 0.5000 0.0000 0.0000
Na1 Na 0.0000 0.0000 0.5000
Mg1 Mg 0.5000 0.5000 0.5000
Au1 Au 0.5000 0.5000 0.0000
```

## Properties
**Energy of formation from the pure elements**: -4.8 kJ/mol of atoms
**Spin magnetization**: 0.0 μB per cell